Crystalline Na2AcNdSe4 at its relaxed geometry, computed with PBE.

## Properties
The value obtained for the electronic total energy is -4.880 eV per atom. For the spin magnetization, the calculation gives 0.00 μB/f.u. The space group is P2/m. The density is 5.2 Mg/m³.

Structure (extended XYZ):
```
8
Lattice="7.460 0.000 0.000 0.000 4.402 0.000 -2.605 0.000 7.179" Properties=species:S:1:pos:R:3 pbc="T T T"
Na 0.000 0.000 0.000
Na -1.302 2.201 3.589
Ac 2.427 0.000 3.589
Nd 3.730 2.201 0.000
Se 1.292 2.201 1.736
Se -0.030 0.000 5.481
Se 4.884 0.000 1.698
Se 3.563 2.201 5.442
```